[1]
# HfThGa5Pd2 PBE relaxed
# Electronic total energy: -5.050 eV per atom
# Magnetic moment: 0.00 μB per cell
# SG: P4/mmm
# Energy relative to the elements: -284 meV/atom
data_HfThGa5Pd2
_cell_length_a 4.855
_cell_length_b 4.855
_cell_length_c 7.561
_cell_angle_alpha 90.00
_cell_angle_beta 90.00
_cell_angle_gamma 90.00
_symmetry_space_group_name_H-M 'P 1'
_symmetry_Int_Tables_number 1
_symmetry_space_group_name_Hall 'P 1'
loop_
_atom_site_label
_atom_site_type_symbol
_atom_site_fract_x
_atom_site_fract_y
_atom_site_fract_z
Hf1 Hf 0.000 0.000 0.000
Th1 Th 0.000 0.000 0.500
Ga1 Ga 0.000 0.500 0.219
Ga2 Ga 0.000 0.500 0.781
Ga3 Ga 0.500 0.000 0.219
Ga4 Ga 0.500 0.000 0.781
Ga5 Ga 0.500 0.500 0.500
Pd1 Pd 0.500 0.500 0.171
Pd2 Pd 0.500 0.500 0.829



[2]
# Hf5BSb3 PBE relaxed
# Electronic total energy: -8.259 eV per atom
# Magnetic moment: 0.00 μB per cell
# Formation energy from raw total energies: -613 meV per atom
# SG: P6_3/mcm
data_Hf5BSb3
_cell_length_a 8.440
_cell_length_b 8.440
_cell_length_c 5.719
_cell_angle_alpha 90.00
_cell_angle_beta 90.00
_cell_angle_gamma 120.00
_symmetry_space_group_name_H-M 'P 1'
_symmetry_Int_Tables_number 1
_symmetry_space_group_name_Hall 'P 1'
loop_
_atom_site_label
_atom_site_type_symbol
_atom_site_fract_x
_atom_site_fract_y
_atom_site_fract_z
Hf1 Hf 0.000 0.232 0.250
Hf2 Hf 0.000 0.768 0.750
Hf3 Hf 0.232 0.000 0.250
Hf4 Hf 0.232 0.232 0.750
Hf5 Hf 0.333 0.667 0.000
Hf6 Hf 0.333 0.667 0.500
Hf7 Hf 0.667 0.333 0.000
Hf8 Hf 0.667 0.333 0.500
Hf9 Hf 0.768 0.000 0.750
Hf10 Hf 0.768 0.768 0.250
B1 B 0.000 0.000 0.000
B2 B 0.000 0.000 0.500
Sb1 Sb 0.000 0.400 0.750
Sb2 Sb 0.000 0.600 0.250
Sb3 Sb 0.400 0.000 0.750
Sb4 Sb 0.400 0.400 0.250
Sb5 Sb 0.600 0.000 0.250
Sb6 Sb 0.600 0.600 0.750



Question: Which formula does entry 2 have?
Answer: Hf5BSb3